Entry 1:
# CdReMo PBE-GGA optimized geometry
# * ΔE_f: 1.120 eV per formula unit
# * distance to the lowest polymorph of the same formula: 5 kJ/mol of formula units
# * N(E_F): 7.6 states/eV/cell
# * total magnetization: 0.0 μB per formula unit
data_CdReMo
_chemical_formula_sum 'Cd4 Re4 Mo4'
_space_group_name_H-M_alt 'F m m 2'
_space_group_IT_number 42
_space_group_name_Hall 'F 2 -2'
_cell_length_a 3.095
_cell_length_b 4.586
_cell_length_c 14.446
_cell_angle_alpha 90.00
_cell_angle_beta 90.00
_cell_angle_gamma 90.00
loop_
_atom_site_label
_atom_site_type_symbol
_atom_site_fract_x
_atom_site_fract_y
_atom_site_fract_z
Cd1 Cd 0.000 0.000 0.000
Re1 Re 0.000 0.000 0.677
Mo1 Mo 0.000 0.000 0.323

=====

Entry 2:
# CdReMo2 PBE-GGA optimized geometry
# * ΔE_f: 1.704 eV per formula unit
# * N(E_F): 7.1 states/eV/cell
# * total magnetization: 0.0 μB per formula unit
data_CdReMo2
_chemical_formula_sum 'Cd2 Re2 Mo4'
_space_group_name_H-M_alt 'C 1 m 1'
_space_group_IT_number 8
_cell_length_a 10.214
_cell_length_b 3.178
_cell_length_c 4.576
_cell_angle_alpha 90.00
_cell_angle_beta 116.45
_cell_angle_gamma 90.00
loop_
_space_group_symop_operation_xyz
'x,y,z'
'x,-y,z'
'x+1/2,y+1/2,z'
'x+1/2,-y+1/2,z'
loop_
_atom_site_label
_atom_site_type_symbol
_atom_site_fract_x
_atom_site_fract_y
_atom_site_fract_z
Cd1 Cd 0.000 0.000 0.000
Re1 Re 0.266 0.500 0.266
Mo1 Mo 0.230 0.000 0.729
Mo2 Mo 0.494 0.000 0.494

=====

Entry 3:
# CdReMo2 PBE-GGA optimized geometry
# * ΔE_f: 1.230 eV per formula unit
# * N(E_F): 7.5 states/eV/cell
# * total magnetization: 0.0 μB per formula unit
data_CdReMo2
_chemical_formula_sum 'Cd3 Re3 Mo6'
_space_group_name_H-M_alt 'R -3 m'
_space_group_IT_number 166
_space_group_name_Hall '-R 3 2"'
_cell_length_a 2.8349
_cell_length_b 2.8349
_cell_length_c 28.7444
_cell_angle_alpha 90.00
_cell_angle_beta 90.00
_cell_angle_gamma 120.00
loop_
_atom_site_label
_atom_site_type_symbol
_atom_site_fract_x
_atom_site_fract_y
_atom_site_fract_z
Cd1 Cd 0.0000 0.0000 0.0000
Re1 Re 0.0000 0.0000 0.5000
Mo1 Mo 0.0000 0.0000 0.2434

=====

Entry 4:
# CdRe2Mo PBE-GGA optimized geometry
# * ΔE_f: 1.520 eV per formula unit
# * N(E_F): 5.1 states/eV/cell
# * total magnetization: 0.0 μB per formula unit
data_CdRe2Mo
_chemical_formula_sum 'Cd2 Re4 Mo2'
_space_group_name_H-M_alt 'C m m 2'
_space_group_IT_number 35
_cell_length_a 3.102
_cell_length_b 4.513
_cell_length_c 9.425
_cell_angle_alpha 90.00
_cell_angle_beta 90.00
_cell_angle_gamma 90.00
loop_
_space_group_symop_operation_xyz
'x,y,z'
'-x,-y,z'
'-x,y,z'
'x,-y,z'
'x+1/2,y+1/2,z'
'-x+1/2,-y+1/2,z'
'-x+1/2,y+1/2,z'
'x+1/2,-y+1/2,z'
loop_
_atom_site_label
_atom_site_type_symbol
_atom_site_fract_x
_atom_site_fract_y
_atom_site_fract_z
Cd1 Cd 0.000 0.000 0.000
Re1 Re 0.000 0.000 0.500
Re2 Re 0.000 0.500 0.730
Mo1 Mo 0.000 0.500 0.268

=====

Entry 5:
# Cd2ReMo PBE-GGA optimized geometry
# * ΔE_f: 1.088 eV per formula unit
# * distance to the lowest polymorph of the same formula: 0 kJ/mol of formula units
# * N(E_F): 2.9 states/eV/cell
# * total magnetization: 0.0 μB per formula unit
data_Cd2ReMo
_chemical_formula_sum 'Cd2 Re1 Mo1'
_space_group_name_H-M_alt 'P 4 m m'
_space_group_IT_number 99
_cell_length_a 3.117
_cell_length_b 3.117
_cell_length_c 7.698
_cell_angle_alpha 90.00
_cell_angle_beta 90.00
_cell_angle_gamma 90.00
loop_
_space_group_symop_operation_xyz
'x,y,z'
'-y,x,z'
'-x,-y,z'
'y,-x,z'
'-x,y,z'
'y,x,z'
'x,-y,z'
'-y,-x,z'
loop_
_atom_site_label
_atom_site_type_symbol
_atom_site_fract_x
_atom_site_fract_y
_atom_site_fract_z
Cd1 Cd 0.000 0.000 0.000
Cd2 Cd 0.500 0.500 0.290
Re1 Re 0.500 0.500 0.736
Mo1 Mo 0.000 0.000 0.562

=====

Entry 6:
# Cd2ReMo PBE-GGA optimized geometry
# * ΔE_f: 2.356 eV per formula unit
# * distance to the lowest polymorph of the same formula: 122 kJ/mol of formula units
# * N(E_F): 6.2 states/eV/cell
# * total magnetization: 0.0 μB per formula unit
data_Cd2ReMo
_chemical_formula_sum 'Cd4 Re2 Mo2'
_space_group_name_H-M_alt 'C 1 2/m 1'
_space_group_IT_number 12
_cell_length_a 5.519
_cell_length_b 9.633
_cell_length_c 2.745
_cell_angle_alpha 90.00
_cell_angle_beta 106.50
_cell_angle_gamma 90.00
loop_
_space_group_symop_operation_xyz
'x,y,z'
'-x,-y,-z'
'-x,y,-z'
'x,-y,z'
'x+1/2,y+1/2,z'
'-x+1/2,-y+1/2,-z'
'-x+1/2,y+1/2,-z'
'x+1/2,-y+1/2,z'
loop_
_atom_site_label
_atom_site_type_symbol
_atom_site_fract_x
_atom_site_fract_y
_atom_site_fract_z
Cd1 Cd 0.250 0.250 0.000
Re1 Re 0.000 0.000 0.500
Mo1 Mo 0.000 0.500 0.500

=====

Entry 7:
# CdRe2Mo PBE-GGA optimized geometry
# * ΔE_f: 1.249 eV per formula unit
# * N(E_F): 2.8 states/eV/cell
# * total magnetization: 0.0 μB per formula unit
data_CdRe2Mo
_chemical_formula_sum 'Cd1 Re2 Mo1'
_space_group_name_H-M_alt 'P 4 m m'
_space_group_IT_number 99
_cell_length_a 2.827
_cell_length_b 2.827
_cell_length_c 8.260
_cell_angle_alpha 90.00
_cell_angle_beta 90.00
_cell_angle_gamma 90.00
loop_
_space_group_symop_operation_xyz
'x,y,z'
'-y,x,z'
'-x,-y,z'
'y,-x,z'
'-x,y,z'
'y,x,z'
'x,-y,z'
'-y,-x,z'
loop_
_atom_site_label
_atom_site_type_symbol
_atom_site_fract_x
_atom_site_fract_y
_atom_site_fract_z
Cd1 Cd 0.000 0.000 0.000
Re1 Re 0.000 0.000 0.514
Re2 Re 0.500 0.500 0.728
Mo1 Mo 0.500 0.500 0.276

=====

Entry 8:
# CdReMo2 PBE-GGA optimized geometry
# * ΔE_f: 1.140 eV per formula unit
# * N(E_F): 5.8 states/eV/cell
# * total magnetization: 0.0 μB per formula unit
data_CdReMo2
_chemical_formula_sum 'Cd2 Re2 Mo4'
_space_group_name_H-M_alt 'C m m 2'
_space_group_IT_number 35
_cell_length_a 3.169
_cell_length_b 4.504
_cell_length_c 9.357
_cell_angle_alpha 90.00
_cell_angle_beta 90.00
_cell_angle_gamma 90.00
loop_
_space_group_symop_operation_xyz
'x,y,z'
'-x,-y,z'
'-x,y,z'
'x,-y,z'
'x+1/2,y+1/2,z'
'-x+1/2,-y+1/2,z'
'-x+1/2,y+1/2,z'
'x+1/2,-y+1/2,z'
loop_
_atom_site_label
_atom_site_type_symbol
_atom_site_fract_x
_atom_site_fract_y
_atom_site_fract_z
Cd1 Cd 0.000 0.000 0.000
Re1 Re 0.000 0.500 0.269
Mo1 Mo 0.000 0.000 0.498
Mo2 Mo 0.000 0.500 0.732

=====

Entry 9:
# CdReMo2 PBE-GGA optimized geometry
# * ΔE_f: 1.687 eV per formula unit
# * N(E_F): 3.1 states/eV/cell
# * total magnetization: 0.0 μB per formula unit
data_CdReMo2
_chemical_formula_sum 'Cd1 Re1 Mo2'
_space_group_name_H-M_alt 'P m m 2'
_space_group_IT_number 25
_cell_length_a 2.914
_cell_length_b 4.020
_cell_length_c 5.808
_cell_angle_alpha 90.00
_cell_angle_beta 90.00
_cell_angle_gamma 90.00
loop_
_space_group_symop_operation_xyz
'x,y,z'
'-x,-y,z'
'-x,y,z'
'x,-y,z'
loop_
_atom_site_label
_atom_site_type_symbol
_atom_site_fract_x
_atom_site_fract_y
_atom_site_fract_z
Cd1 Cd 0.000 0.000 0.000
Re1 Re 0.500 0.500 0.708
Mo1 Mo 0.000 0.000 0.507
Mo2 Mo 0.500 0.500 0.284

=====

Entry 10:
# CdReMo PBE-GGA optimized geometry
# * ΔE_f: 1.146 eV per formula unit
# * distance to the lowest polymorph of the same formula: 7 kJ/mol of formula units
# * N(E_F): 3.3 states/eV/cell
# * total magnetization: 0.0 μB per formula unit
data_CdReMo
_chemical_formula_sum 'Cd1 Re1 Mo1'
_space_group_name_H-M_alt 'P 3 m 1'
_space_group_IT_number 156
_cell_length_a 2.9020
_cell_length_b 2.9020
_cell_length_c 7.0557
_cell_angle_alpha 90.00
_cell_angle_beta 90.00
_cell_angle_gamma 120.00
loop_
_space_group_symop_operation_xyz
'x,y,z'
'-y,x-y,z'
'-x+y,-x,z'
'-y,-x,z'
'-x+y,y,z'
'x,x-y,z'
loop_
_atom_site_label
_atom_site_type_symbol
_atom_site_fract_x
_atom_site_fract_y
_atom_site_fract_z
Cd1 Cd 0.0000 0.0000 0.0000
Re1 Re 0.3333 0.6667 0.6451
Mo1 Mo 0.6667 0.3333 0.3619

=====

Entry 11:
# Cd2ReMo PBE-GGA optimized geometry
# * ΔE_f: 2.434 eV per formula unit
# * distance to the lowest polymorph of the same formula: 130 kJ/mol of formula units
# * N(E_F): 5.7 states/eV/cell
# * total magnetization: 0.0 μB per formula unit
data_Cd2ReMo
_chemical_formula_sum 'Cd4 Re2 Mo2'
_space_group_name_H-M_alt 'I -4 m 2'
_space_group_IT_number 119
_space_group_name_Hall 'I -4 -2'
_cell_length_a 4.315
_cell_length_b 4.315
_cell_length_c 7.475
_cell_angle_alpha 90.00
_cell_angle_beta 90.00
_cell_angle_gamma 90.00
loop_
_atom_site_label
_atom_site_type_symbol
_atom_site_fract_x
_atom_site_fract_y
_atom_site_fract_z
Cd1 Cd 0.000 0.000 0.000
Cd2 Cd 0.000 0.500 0.250
Re1 Re 0.000 0.000 0.500
Mo1 Mo 0.000 0.500 0.750

=====

Entry 12:
# CdReMo2 PBE-GGA optimized geometry
# * ΔE_f: 1.393 eV per formula unit
# * N(E_F): 2.9 states/eV/cell
# * total magnetization: 0.0 μB per formula unit
data_CdReMo2
_chemical_formula_sum 'Cd1 Re1 Mo2'
_space_group_name_H-M_alt 'P m m m'
_space_group_IT_number 47
_cell_length_a 2.857
_cell_length_b 4.049
_cell_length_c 5.786
_cell_angle_alpha 90.00
_cell_angle_beta 90.00
_cell_angle_gamma 90.00
loop_
_space_group_symop_operation_xyz
'x,y,z'
'-x,-y,-z'
'-x,-y,z'
'x,y,-z'
'x,-y,-z'
'-x,y,z'
'-x,y,-z'
'x,-y,z'
loop_
_atom_site_label
_atom_site_type_symbol
_atom_site_fract_x
_atom_site_fract_y
_atom_site_fract_z
Cd1 Cd 0.000 0.000 0.000
Re1 Re 0.000 0.000 0.500
Mo1 Mo 0.500 0.500 0.283

=====

Entry 13:
# CdReMo PBE-GGA optimized geometry
# * ΔE_f: 1.072 eV per formula unit
# * distance to the lowest polymorph of the same formula: 0 kJ/mol of formula units
# * N(E_F): 3.3 states/eV/cell
# * total magnetization: 0.0 μB per formula unit
data_CdReMo
_chemical_formula_sum 'Cd2 Re2 Mo2'
_space_group_name_H-M_alt 'I 4 m m'
_space_group_IT_number 107
_space_group_name_Hall 'I 4 -2'
_cell_length_a 3.167
_cell_length_b 3.167
_cell_length_c 10.424
_cell_angle_alpha 90.00
_cell_angle_beta 90.00
_cell_angle_gamma 90.00
loop_
_atom_site_label
_atom_site_type_symbol
_atom_site_fract_x
_atom_site_fract_y
_atom_site_fract_z
Cd1 Cd 0.000 0.000 0.000
Re1 Re 0.000 0.000 0.314
Mo1 Mo 0.000 0.000 0.690

=====

Entry 14:
# CdReMo2 PBE-GGA optimized geometry
# * ΔE_f: 2.059 eV per formula unit
# * N(E_F): 5.1 states/eV/cell
# * total magnetization: 0.0 μB per formula unit
data_CdReMo2
_chemical_formula_sum 'Cd2 Re2 Mo4'
_space_group_name_H-M_alt 'I -4 m 2'
_space_group_IT_number 119
_space_group_name_Hall 'I -4 -2'
_cell_length_a 4.001
_cell_length_b 4.001
_cell_length_c 8.190
_cell_angle_alpha 90.00
_cell_angle_beta 90.00
_cell_angle_gamma 90.00
loop_
_atom_site_label
_atom_site_type_symbol
_atom_site_fract_x
_atom_site_fract_y
_atom_site_fract_z
Cd1 Cd 0.000 0.000 0.000
Re1 Re 0.000 0.500 0.250
Mo1 Mo 0.000 0.000 0.500
Mo2 Mo 0.000 0.500 0.750

=====

Entry 15:
# Cd2ReMo PBE-GGA optimized geometry
# * ΔE_f: 2.409 eV per formula unit
# * distance to the lowest polymorph of the same formula: 127 kJ/mol of formula units
# * N(E_F): 5.5 states/eV/cell
# * total magnetization: 0.0 μB per formula unit
data_Cd2ReMo
_chemical_formula_sum 'Cd4 Re2 Mo2'
_space_group_name_H-M_alt 'C m m m'
_space_group_IT_number 65
_space_group_name_Hall '-C 2 2'
_cell_length_a 3.291
_cell_length_b 4.409
_cell_length_c 9.645
_cell_angle_alpha 90.00
_cell_angle_beta 90.00
_cell_angle_gamma 90.00
loop_
_atom_site_label
_atom_site_type_symbol
_atom_site_fract_x
_atom_site_fract_y
_atom_site_fract_z
Cd1 Cd 0.000 0.000 0.249
Re1 Re 0.000 0.500 0.000
Mo1 Mo 0.000 0.500 0.500